# LuCuSnIr | Alexandria via LeMat-Bulk | PBE | relaxed
# Space group ... F-43m (216)
# Formation energy from the elements ... -0.487 eV per atom
# Theoretical density ... 12.67 g/cm3
# M_tot ... 0.00 μB/cell
data_LuCuSnIr
_cell_length_a 4.6704
_cell_length_b 4.6704
_cell_length_c 4.6704
_cell_angle_alpha 60.00
_cell_angle_beta 60.00
_cell_angle_gamma 60.00
_space_group_name_H-M_alt 'P 1'
_space_group_IT_number 1
loop_
_space_group_symop_operation_xyz
'x,y,z'
loop_
_atom_site_label
_atom_site_type_symbol
_atom_site_fract_x
_atom_site_fract_y
_atom_site_fract_z
Cu1 Cu 0.2500 0.2500 0.2500
Ir1 Ir 0.7500 0.7500 0.7500
Lu1 Lu 0.0000 0.0000 0.0000
Sn1 Sn 0.5000 0.5000 0.5000

=====

# LuZrCuIr | Alexandria via LeMat-Bulk | PBE | relaxed
# Space group ... F-43m (216)
# Formation energy from the elements ... -0.590 eV per atom
# Theoretical density ... 11.69 g/cm3
# M_tot ... 0.00 μB/cell
data_LuZrCuIr
_cell_length_a 4.7160
_cell_length_b 4.7160
_cell_length_c 4.7160
_cell_angle_alpha 60.00
_cell_angle_beta 60.00
_cell_angle_gamma 60.00
_space_group_name_H-M_alt 'P 1'
_space_group_IT_number 1
loop_
_space_group_symop_operation_xyz
'x,y,z'
loop_
_atom_site_label
_atom_site_type_symbol
_atom_site_fract_x
_atom_site_fract_y
_atom_site_fract_z
Ir1 Ir 0.7500 0.7500 0.7500
Lu1 Lu 0.0000 0.0000 0.0000
Cu1 Cu 0.2500 0.2500 0.2500
Zr1 Zr 0.5000 0.5000 0.5000

=====

# MgCuIr2 | Alexandria via LeMat-Bulk | PBE | relaxed
# Space group ... I-42d (122)
# Formation energy from the elements ... 0.311 eV per atom
# Theoretical density ... 12.29 g/cm3
# M_tot ... 0.01 μB/cell
data_MgCuIr2
_cell_length_a 3.7415
_cell_length_b 3.7415
_cell_length_c 9.4941
_cell_angle_alpha 78.64
_cell_angle_beta 78.64
_cell_angle_gamma 90.00
_space_group_name_H-M_alt 'P 1'
_space_group_IT_number 1
loop_
_space_group_symop_operation_xyz
'x,y,z'
loop_
_atom_site_label
_atom_site_type_symbol
_atom_site_fract_x
_atom_site_fract_y
_atom_site_fract_z
Ir1 Ir 0.1090 0.6250 0.2500
Ir2 Ir 0.3750 0.3590 0.7500
Ir3 Ir 0.6410 0.1250 0.2500
Ir4 Ir 0.8750 0.8910 0.7500
Cu1 Cu 0.0000 0.0000 0.0000
Cu2 Cu 0.7500 0.2500 0.5000
Mg1 Mg 0.2500 0.7500 0.5000
Mg2 Mg 0.5000 0.5000 0.0000

=====

# MgCuIr2 | Alexandria via LeMat-Bulk | PBE | relaxed
# Space group ... Imm2 (44)
# Formation energy from the elements ... -0.013 eV per atom
# Theoretical density ... 13.51 g/cm3
# M_tot ... 0.00 μB/cell
data_MgCuIr2
_cell_length_a 5.2587
_cell_length_b 5.2587
_cell_length_c 5.2587
_cell_angle_alpha 148.15
_cell_angle_beta 130.25
_cell_angle_gamma 60.30
_space_group_name_H-M_alt 'P 1'
_space_group_IT_number 1
loop_
_space_group_symop_operation_xyz
'x,y,z'
loop_
_atom_site_label
_atom_site_type_symbol
_atom_site_fract_x
_atom_site_fract_y
_atom_site_fract_z
Ir1 Ir 0.9994 0.9994 0.0000
Ir2 Ir 0.7603 0.2603 0.5000
Mg1 Mg 0.4980 0.4980 0.0000
Cu1 Cu 0.2424 0.7424 0.5000

=====

# MgCuIr | Alexandria via LeMat-Bulk | PBE | relaxed
# Space group ... I4mm (107)
# Formation energy from the elements ... -0.066 eV per atom
# Theoretical density ... 10.65 g/cm3
# M_tot ... 0.00 μB/cell
data_MgCuIr
_cell_length_a 4.9622
_cell_length_b 4.9622
_cell_length_c 4.9622
_cell_angle_alpha 143.15
_cell_angle_beta 143.15
_cell_angle_gamma 53.11
_space_group_name_H-M_alt 'P 1'
_space_group_IT_number 1
loop_
_space_group_symop_operation_xyz
'x,y,z'
loop_
_atom_site_label
_atom_site_type_symbol
_atom_site_fract_x
_atom_site_fract_y
_atom_site_fract_z
Ir1 Ir 0.3405 0.3405 0.0000
Mg1 Mg 0.6663 0.6663 0.0000
Cu1 Cu 0.9932 0.9932 0.0000

=====

# MgCuIr | Alexandria via LeMat-Bulk | PBE | relaxed
# Space group ... F-43m (216)
# Formation energy from the elements ... 0.224 eV per atom
# Theoretical density ... 9.33 g/cm3
# M_tot ... 0.00 μB/cell
data_MgCuIr
_cell_length_a 4.1304
_cell_length_b 4.1304
_cell_length_c 4.1304
_cell_angle_alpha 60.00
_cell_angle_beta 60.00
_cell_angle_gamma 60.00
_space_group_name_H-M_alt 'P 1'
_space_group_IT_number 1
loop_
_space_group_symop_operation_xyz
'x,y,z'
loop_
_atom_site_label
_atom_site_type_symbol
_atom_site_fract_x
_atom_site_fract_y
_atom_site_fract_z
Cu1 Cu 0.7500 0.7500 0.7500
Ir1 Ir 0.0000 0.0000 0.0000
Mg1 Mg 0.5000 0.5000 0.5000

=====

# MgCuIr | Alexandria via LeMat-Bulk | PBE | relaxed
# Space group ... P1 (1)
# Formation energy from the elements ... -0.098 eV per atom
# Theoretical density ... 9.51 g/cm3
# M_tot ... 0.00 μB/cell
data_MgCuIr
_cell_length_a 5.1134
_cell_length_b 4.9025
_cell_length_c 4.4549
_cell_angle_alpha 89.93
_cell_angle_beta 88.47
_cell_angle_gamma 61.23
_space_group_name_H-M_alt 'P 1'
_space_group_IT_number 1
loop_
_space_group_symop_operation_xyz
'x,y,z'
loop_
_atom_site_label
_atom_site_type_symbol
_atom_site_fract_x
_atom_site_fract_y
_atom_site_fract_z
Mg1 Mg 0.3112 0.7420 0.6232
Mg2 Mg 0.6608 0.0677 0.4245
Cu1 Cu 0.7767 0.7541 0.9314
Cu2 Cu 0.7772 0.2635 0.9308
Ir1 Ir 0.2816 0.2565 0.9308
Ir2 Ir 0.0106 0.3921 0.4313

=====

# MgCuIr2 | Alexandria via LeMat-Bulk | PBE | relaxed
# Space group ... C2/m (12)
# Formation energy from the elements ... -0.137 eV per atom
# Theoretical density ... 13.58 g/cm3
# M_tot ... 0.00 μB/cell
data_MgCuIr2
_cell_length_a 4.6522
_cell_length_b 4.6522
_cell_length_c 4.7901
_cell_angle_alpha 79.81
_cell_angle_beta 79.81
_cell_angle_gamma 34.53
_space_group_name_H-M_alt 'P 1'
_space_group_IT_number 1
loop_
_space_group_symop_operation_xyz
'x,y,z'
loop_
_atom_site_label
_atom_site_type_symbol
_atom_site_fract_x
_atom_site_fract_y
_atom_site_fract_z
Cu1 Cu 0.2500 0.2500 0.2500
Ir1 Ir 0.9962 0.9962 0.0126
Ir2 Ir 0.5038 0.5038 0.4874
Mg1 Mg 0.7500 0.7500 0.7500

=====

# MgCuIr2 | Alexandria via LeMat-Bulk | PBE | relaxed
# Space group ... R3m (160)
# Formation energy from the elements ... 0.035 eV per atom
# Theoretical density ... 13.36 g/cm3
# M_tot ... 0.00 μB/cell
data_MgCuIr2
_cell_length_a 8.9724
_cell_length_b 8.9724
_cell_length_c 8.9724
_cell_angle_alpha 17.76
_cell_angle_beta 17.76
_cell_angle_gamma 17.76
_space_group_name_H-M_alt 'P 1'
_space_group_IT_number 1
loop_
_space_group_symop_operation_xyz
'x,y,z'
loop_
_atom_site_label
_atom_site_type_symbol
_atom_site_fract_x
_atom_site_fract_y
_atom_site_fract_z
Ir1 Ir 0.0006 0.0006 0.0006
Ir2 Ir 0.2515 0.2515 0.2515
Mg1 Mg 0.4996 0.4996 0.4996
Cu1 Cu 0.7482 0.7482 0.7482

=====

# MgCuIr2 | Alexandria via LeMat-Bulk | PBE | relaxed
# Space group ... Cmm2 (35)
# Formation energy from the elements ... 0.182 eV per atom
# Theoretical density ... 13.22 g/cm3
# M_tot ... 0.00 μB/cell
data_MgCuIr2
_cell_length_a 2.7380
_cell_length_b 2.7380
_cell_length_c 8.9913
_cell_angle_alpha 90.00
_cell_angle_beta 90.00
_cell_angle_gamma 118.30
_space_group_name_H-M_alt 'P 1'
_space_group_IT_number 1
loop_
_space_group_symop_operation_xyz
'x,y,z'
loop_
_atom_site_label
_atom_site_type_symbol
_atom_site_fract_x
_atom_site_fract_y
_atom_site_fract_z
Ir1 Ir 0.0000 0.0000 0.9951
Ir2 Ir 0.5000 0.5000 0.2513
Mg1 Mg 0.0000 0.0000 0.5019
Cu1 Cu 0.5000 0.5000 0.7518

=====

# Mg5CuIr2 | Alexandria via LeMat-Bulk | PBE | relaxed
# Space group ... Pbam (55)
# Formation energy from the elements ... -0.226 eV per atom
# Theoretical density ... 7.21 g/cm3
# M_tot ... 0.00 μB/cell
data_Mg5CuIr2
_cell_length_a 4.2886
_cell_length_b 5.5832
_cell_length_c 10.9601
_cell_angle_alpha 90.00
_cell_angle_beta 90.00
_cell_angle_gamma 90.00
_space_group_name_H-M_alt 'P 1'
_space_group_IT_number 1
loop_
_space_group_symop_operation_xyz
'x,y,z'
loop_
_atom_site_label
_atom_site_type_symbol
_atom_site_fract_x
_atom_site_fract_y
_atom_site_fract_z
Mg1 Mg 0.0000 0.5870 0.7371
Mg2 Mg 0.5000 0.8161 0.8903
Mg3 Mg 0.5000 0.1839 0.1097
Mg4 Mg 0.5000 0.6839 0.3903
Mg5 Mg 0.0000 0.9130 0.2371
Mg6 Mg 0.0000 0.4130 0.2629
Mg7 Mg 0.5000 0.3161 0.6097
Mg8 Mg 0.0000 0.5000 0.0000
Mg9 Mg 0.0000 0.0870 0.7629
Mg10 Mg 0.0000 0.0000 0.5000
Ir1 Ir 0.5000 0.8192 0.6340
Ir2 Ir 0.5000 0.3192 0.8660
Ir3 Ir 0.5000 0.1808 0.3660
Ir4 Ir 0.5000 0.6808 0.1340
Cu1 Cu 0.0000 0.0000 0.0000
Cu2 Cu 0.0000 0.5000 0.5000

=====

# MgCuIr2 | Alexandria via LeMat-Bulk | PBE | relaxed
# Space group ... I-4m2 (119)
# Formation energy from the elements ... -0.027 eV per atom
# Theoretical density ... 13.61 g/cm3
# M_tot ... 0.00 μB/cell
data_MgCuIr2
_cell_length_a 4.6619
_cell_length_b 4.6619
_cell_length_c 4.6619
_cell_angle_alpha 130.26
_cell_angle_beta 130.26
_cell_angle_gamma 73.00
_space_group_name_H-M_alt 'P 1'
_space_group_IT_number 1
loop_
_space_group_symop_operation_xyz
'x,y,z'
loop_
_atom_site_label
_atom_site_type_symbol
_atom_site_fract_x
_atom_site_fract_y
_atom_site_fract_z
Cu1 Cu 0.7500 0.2500 0.5000
Mg1 Mg 0.5000 0.5000 0.0000
Ir1 Ir 0.2500 0.7500 0.5000
Ir2 Ir 0.0000 0.0000 0.0000

=====

# MgCuIr | Alexandria via LeMat-Bulk | PBE | relaxed
# Space group ... Imma (74)
# Formation energy from the elements ... -0.207 eV per atom
# Theoretical density ... 10.03 g/cm3
# M_tot ... 0.00 μB/cell
data_MgCuIr
_cell_length_a 5.0967
_cell_length_b 5.0967
_cell_length_c 5.0967
_cell_angle_alpha 89.17
_cell_angle_beta 122.50
_cell_angle_gamma 118.50
_space_group_name_H-M_alt 'P 1'
_space_group_IT_number 1
loop_
_space_group_symop_operation_xyz
'x,y,z'
loop_
_atom_site_label
_atom_site_type_symbol
_atom_site_fract_x
_atom_site_fract_y
_atom_site_fract_z
Mg1 Mg 0.2500 0.1206 0.8706
Mg2 Mg 0.7500 0.8794 0.1294
Ir1 Ir 0.5000 0.0000 0.5000
Ir2 Ir 0.0000 0.5000 0.5000
Cu1 Cu 0.5000 0.5000 0.5000
Cu2 Cu 0.0000 0.5000 0.0000

=====

# MgCuIr2 | Alexandria via LeMat-Bulk | PBE | relaxed
# Space group ... P2/m (10)
# Formation energy from the elements ... -0.053 eV per atom
# Theoretical density ... 13.40 g/cm3
# M_tot ... 0.00 μB/cell
data_MgCuIr2
_cell_length_a 4.4147
_cell_length_b 2.7388
_cell_length_c 4.8659
_cell_angle_alpha 84.15
_cell_angle_beta 90.00
_cell_angle_gamma 90.00
_space_group_name_H-M_alt 'P 1'
_space_group_IT_number 1
loop_
_space_group_symop_operation_xyz
'x,y,z'
loop_
_atom_site_label
_atom_site_type_symbol
_atom_site_fract_x
_atom_site_fract_y
_atom_site_fract_z
Ir1 Ir 0.0000 0.5392 0.5139
Ir2 Ir 0.0000 0.9608 0.9861
Mg1 Mg 0.5000 0.2500 0.2500
Cu1 Cu 0.5000 0.7500 0.7500

=====

# MgCuIr2 | Alexandria via LeMat-Bulk | PBE | relaxed
# Space group ... P4mm (99)
# Formation energy from the elements ... -0.059 eV per atom
# Theoretical density ... 13.33 g/cm3
# M_tot ... 0.00 μB/cell
data_MgCuIr2
_cell_length_a 2.7750
_cell_length_b 2.7750
_cell_length_c 7.6420
_cell_angle_alpha 90.00
_cell_angle_beta 90.00
_cell_angle_gamma 90.00
_space_group_name_H-M_alt 'P 1'
_space_group_IT_number 1
loop_
_space_group_symop_operation_xyz
'x,y,z'
loop_
_atom_site_label
_atom_site_type_symbol
_atom_site_fract_x
_atom_site_fract_y
_atom_site_fract_z
Ir1 Ir 0.0000 0.0000 0.0000
Ir2 Ir 0.5000 0.5000 0.2385
Mg1 Mg 0.0000 0.0000 0.5008
Cu1 Cu 0.5000 0.5000 0.7615

=====

# Mg6CuIr2 | Alexandria via LeMat-Bulk | PBE | relaxed
# Space group ... Immm (71)
# Formation energy from the elements ... -0.097 eV per atom
# Theoretical density ... 5.37 g/cm3
# M_tot ... 0.00 μB/cell
data_Mg6CuIr2
_cell_length_a 4.4202
_cell_length_b 6.2767
_cell_length_c 7.6455
_cell_angle_alpha 114.24
_cell_angle_beta 106.75
_cell_angle_gamma 90.00
_space_group_name_H-M_alt 'P 1'
_space_group_IT_number 1
loop_
_space_group_symop_operation_xyz
'x,y,z'
loop_
_atom_site_label
_atom_site_type_symbol
_atom_site_fract_x
_atom_site_fract_y
_atom_site_fract_z
Mg1 Mg 0.1719 0.9150 0.3427
Mg2 Mg 0.8281 0.5723 0.6573
Mg3 Mg 0.5000 0.2605 0.0000
Mg4 Mg 0.1719 0.4277 0.3427
Mg5 Mg 0.8281 0.0850 0.6573
Mg6 Mg 0.5000 0.7395 0.0000
Ir1 Ir 0.3333 0.3341 0.6681
Ir2 Ir 0.6667 0.6659 0.3319
Cu1 Cu 0.0000 0.0000 0.0000

=====

# Mg4CuIr3 | Alexandria via LeMat-Bulk | PBE | relaxed
# Space group ... I4/mmm (139)
# Formation energy from the elements ... -0.274 eV per atom
# Theoretical density ... 10.06 g/cm3
# M_tot ... 0.00 μB/cell
data_Mg4CuIr3
_cell_length_a 4.4247
_cell_length_b 4.4247
_cell_length_c 6.9596
_cell_angle_alpha 108.55
_cell_angle_beta 108.53
_cell_angle_gamma 89.94
_space_group_name_H-M_alt 'P 1'
_space_group_IT_number 1
loop_
_space_group_symop_operation_xyz
'x,y,z'
loop_
_atom_site_label
_atom_site_type_symbol
_atom_site_fract_x
_atom_site_fract_y
_atom_site_fract_z
Mg1 Mg 0.6265 0.6262 0.2531
Mg2 Mg 0.3735 0.3738 0.7469
Mg3 Mg 0.8736 0.8735 0.7469
Mg4 Mg 0.1264 0.1265 0.2531
Cu1 Cu 0.5000 0.0000 0.0000
Ir1 Ir 0.2485 0.7486 0.4968
Ir2 Ir 0.0000 0.5000 0.0000
Ir3 Ir 0.7515 0.2514 0.5032

=====

# Mg2CuIr2 | Alexandria via LeMat-Bulk | PBE | relaxed
# Space group ... P4/mbm (127)
# Formation energy from the elements ... -0.158 eV per atom
# Theoretical density ... 9.94 g/cm3
# M_tot ... 0.00 μB/cell
data_Mg2CuIr2
_cell_length_a 6.3578
_cell_length_b 6.3578
_cell_length_c 4.1050
_cell_angle_alpha 90.00
_cell_angle_beta 90.00
_cell_angle_gamma 90.00
_space_group_name_H-M_alt 'P 1'
_space_group_IT_number 1
loop_
_space_group_symop_operation_xyz
'x,y,z'
loop_
_atom_site_label
_atom_site_type_symbol
_atom_site_fract_x
_atom_site_fract_y
_atom_site_fract_z
Ir1 Ir 0.1362 0.3638 0.0000
Ir2 Ir 0.6362 0.1362 0.0000
Ir3 Ir 0.3638 0.8638 0.0000
Ir4 Ir 0.8638 0.6362 0.0000
Cu1 Cu 0.0000 0.0000 0.0000
Cu2 Cu 0.5000 0.5000 0.0000
Mg1 Mg 0.8302 0.3302 0.5000
Mg2 Mg 0.6698 0.8302 0.5000
Mg3 Mg 0.1698 0.6698 0.5000
Mg4 Mg 0.3302 0.1698 0.5000

=====

# MgCu3Ir | Alexandria via LeMat-Bulk | PBE | relaxed
# Space group ... Pm-3m (221)
# Formation energy from the elements ... 0.809 eV per atom
# Theoretical density ... 6.73 g/cm3
# M_tot ... 0.00 μB/cell
data_MgCu3Ir
_cell_length_a 4.6480
_cell_length_b 4.6480
_cell_length_c 4.6480
_cell_angle_alpha 90.00
_cell_angle_beta 90.00
_cell_angle_gamma 90.00
_space_group_name_H-M_alt 'P 1'
_space_group_IT_number 1
loop_
_space_group_symop_operation_xyz
'x,y,z'
loop_
_atom_site_label
_atom_site_type_symbol
_atom_site_fract_x
_atom_site_fract_y
_atom_site_fract_z
Cu1 Cu 0.0000 0.5000 0.0000
Cu2 Cu 0.0000 0.0000 0.5000
Cu3 Cu 0.5000 0.0000 0.0000
Mg1 Mg 0.5000 0.5000 0.5000
Ir1 Ir 0.0000 0.0000 0.0000

=====

# MgCuIr2 | Alexandria via LeMat-Bulk | PBE | relaxed
# Space group ... Cmmm (65)
# Formation energy from the elements ... 0.023 eV per atom
# Theoretical density ... 13.49 g/cm3
# M_tot ... 0.00 μB/cell
data_MgCuIr2
_cell_length_a 2.7223
_cell_length_b 2.7223
_cell_length_c 8.7029
_cell_angle_alpha 90.00
_cell_angle_beta 90.00
_cell_angle_gamma 115.69
_space_group_name_H-M_alt 'P 1'
_space_group_IT_number 1
loop_
_space_group_symop_operation_xyz
'x,y,z'
loop_
_atom_site_label
_atom_site_type_symbol
_atom_site_fract_x
_atom_site_fract_y
_atom_site_fract_z
Ir1 Ir 0.0000 0.0000 0.9962
Ir2 Ir 0.0000 0.0000 0.5038
Cu1 Cu 0.5000 0.5000 0.7500
Mg1 Mg 0.5000 0.5000 0.2500